Material: Sc2Al2Ir
Method: DFT, PBE
State: relaxed Values from VASP.

Summary:
Energy of formation from the pure elements (meV per atom): -596
SG: P4/mbm, No. 127

The structure in Quantum ESPRESSO input format:
```
&SYSTEM
  ibrav = 0, nat = 10, ntyp = 3
/
ATOMIC_SPECIES
Sc 44.96 Sc.upf
Ir 192.22 Ir.upf
Al 26.98 Al.upf
ATOMIC_POSITIONS angstrom
Sc 1.140 4.474 2.053
Sc 4.474 5.527 2.053
Sc 5.527 2.193 2.053
Sc 2.193 1.140 2.053
Ir 0.000 0.000 0.000
Ir 3.334 3.334 0.000
Al 2.422 5.756 0.000
Al 5.756 4.245 0.000
Al 4.245 0.912 0.000
Al 0.912 2.422 0.000
CELL_PARAMETERS angstrom
6.668 0.000 0.000
0.000 6.668 0.000
0.000 0.000 4.107
```


Material: KFe2Au
Method: DFT, PBE
State: relaxed Values from VASP.

Summary:
Energy of formation from the pure elements (meV per atom): 870
SG: C2/m, No. 12

The structure in Quantum ESPRESSO input format:
```
&SYSTEM
  ibrav = 0, nat = 4, ntyp = 3
/
ATOMIC_SPECIES
Au 196.97 Au.upf
Fe 55.84 Fe.upf
K 39.10 K.upf
ATOMIC_POSITIONS angstrom
Au -2.211 -1.851 0.731
Fe 0.000 0.000 0.000
Fe -1.991 -0.974 -2.103
K -2.482 0.531 2.369
CELL_PARAMETERS angstrom
-1.719 -3.355 -3.740
-2.702 -0.347 5.202
-2.262 1.408 -0.465
```


Material: SrAlHg2
Method: DFT, PBE
State: relaxed Values from VASP.

Summary:
Energy of formation from the pure elements (meV per atom): -328
SG: Cmcm, No. 63

The structure in Quantum ESPRESSO input format:
```
&SYSTEM
  ibrav = 0, nat = 8, ntyp = 3
/
ATOMIC_SPECIES
Sr 87.62 Sr.upf
Al 26.98 Al.upf
Hg 200.59 Hg.upf
ATOMIC_POSITIONS angstrom
Sr -0.326 -5.919 5.495
Sr -1.943 0.068 3.716
Al -0.823 -2.601 6.755
Al -1.446 -3.250 2.456
Hg 0.489 -2.686 4.323
Hg -2.759 -3.166 4.888
Hg -0.116 -4.288 8.676
Hg -2.154 -1.563 0.535
CELL_PARAMETERS angstrom
-3.349 1.895 2.899
-3.065 -3.048 -1.548
4.144 -4.698 7.860
```


Material: YMoBr
Method: DFT, PBE
State: relaxed Values from VASP.

Summary:
Energy above the lowest structure with this stoichiometry (eV per formula unit): 0.269
Formation energy from raw total energies (eV per atom): 0.28
SG: Fmm2, No. 42

The structure in Quantum ESPRESSO input format:
```
&SYSTEM
  ibrav = 0, nat = 3, ntyp = 3
/
ATOMIC_SPECIES
Y 88.91 Y.upf
Mo 95.94 Mo.upf
Br 79.90 Br.upf
ATOMIC_POSITIONS angstrom
Y 9.468 1.893 1.041
Mo 5.028 0.613 2.103
Br 1.034 -0.539 3.059
CELL_PARAMETERS angstrom
7.313 -0.012 0.010
6.407 3.131 0.014
0.905 -0.576 3.090
```


Copy entry 4 word for word.
Material: YMoBr
Method: DFT, PBE
State: relaxed Values from VASP.

Summary:
Energy above the lowest structure with this stoichiometry (eV per formula unit): 0.269
Formation energy from raw total energies (eV per atom): 0.28
SG: Fmm2, No. 42

The structure in Quantum ESPRESSO input format:
```
&SYSTEM
  ibrav = 0, nat = 3, ntyp = 3
/
ATOMIC_SPECIES
Y 88.91 Y.upf
Mo 95.94 Mo.upf
Br 79.90 Br.upf
ATOMIC_POSITIONS angstrom
Y 9.468 1.893 1.041
Mo 5.028 0.613 2.103
Br 1.034 -0.539 3.059
CELL_PARAMETERS angstrom
7.313 -0.012 0.010
6.407 3.131 0.014
0.905 -0.576 3.090
```